Computed, not measured: BeIrRh3 after structural relaxation at the GGA-PBE level of DFT.

The uncorrected energy comes out at -6.5571 eV/atom. The calculation puts the magnetization at 0.8 μB/f.u. For the formation enthalpy at 0 K, the calculation gives 371.2 meV/atom. The value obtained for the density of states at the Fermi level is 8.49 states/eV/f.u.

abc: 4.086 4.086 4.086
angles: 90.00 90.00 90.00
Fractional coordinates of all 5 atoms:
Be1 0.000 0.000 0.000
Ir1 0.500 0.500 0.500
Rh1 0.000 0.000 0.500
Rh2 0.000 0.500 0.000
Rh3 0.500 0.000 0.000